DFT (GGA+U) results for a geometry-optimized Mn2O5 structure.

abc: 5.5351 9.6468 3.5438
angles: 90.00 90.00 90.00
Space group Pbam (No. 55)
Inequivalent atoms, fractional coordinates:
Mn1 0.2204 0.1412 0.0000
O1 0.0000 0.0000 0.0000
O2 0.0479 0.2957 0.0000
O3 0.2140 0.6018 0.5000

Electronic total energy (eV/f.u.): -44.27